Entry 1:
A geometry-optimized Zr5TiPd4 structure, computed with PBE.

Cell: 3.330 3.330 17.229 Å, 90.00 90.00 90.00°
Space group P4/mmm (No. 123)
Asymmetric unit:
Zr 0.000 0.000 0.000 (multiplicity 1)
Zr 0.000 0.000 0.196 (multiplicity 2)
Zr 0.000 0.000 0.396 (multiplicity 2)
Ti 0.500 0.500 0.500 (multiplicity 1)
Pd 0.500 0.500 0.101 (multiplicity 2)
Pd 0.500 0.500 0.296 (multiplicity 2)

Summary:
* calculated volume: 191.09 Å³/cell
* theoretical density: 8079 kg/m3
* ΔH_f (0 K): -45.3 kJ per mole of atoms
* DOS at the Fermi energy: 1.17 states/eV/atom


Entry 2:
A geometry-optimized ZrTi2Pd4 structure, computed with PBE.

Cell: 4.3704 4.3704 22.4712 Å, 90.00 90.00 120.00°
Space group R-3m (No. 166, hexagonal axes)
Asymmetric unit:
Zr 0.0000 0.0000 0.0000 (multiplicity 3)
Ti 0.0000 0.0000 0.2452 (multiplicity 6)
Pd 0.0000 0.0000 0.1311 (multiplicity 6)
Pd 0.0000 0.0000 0.3971 (multiplicity 6)

Summary:
* calculated volume: 371.71 Å³/cell
* theoretical density: 8211 kg/m3
* ΔH_f (0 K): -38.2 kJ per mole of atoms
* DOS at the Fermi energy: 1.12 states/eV/atom


Entry 3:
A geometry-optimized Zr2Ti2Pd structure, computed with PBE.

Cell: 5.781 13.053 5.200 Å, 90.00 90.00 90.00°
Space group Ibam (No. 72)
Asymmetric unit:
Zr 0.143 0.093 0.000 (multiplicity 8)
Ti 0.129 0.307 0.000 (multiplicity 8)
Pd 0.000 0.500 0.250 (multiplicity 4)

Summary:
* energy above the most stable polymorph in this dataset: 48.8 meV per atom
* calculated volume: 392.41 Å³/cell
* theoretical density: 6510 kg/m3
* ΔH_f (0 K): -6.4 kJ per mole of atoms
* DOS at the Fermi energy: 1.06 states/eV/atom


Entry 4:
A geometry-optimized Zr3TiPd6 structure, computed with PBE.

Cell: 9.072 3.823 10.978 Å, 90.00 106.70 90.00°
Space group P2_1/m (No. 11)
Asymmetric unit:
Zr 0.017 0.250 0.200 (multiplicity 2)
Zr 0.308 0.750 0.320 (multiplicity 2)
Zr 0.371 0.250 0.078 (multiplicity 2)
Ti 0.210 0.750 0.638 (multiplicity 2)
Pd 0.000 0.250 0.605 (multiplicity 2)
Pd 0.127 0.750 0.064 (multiplicity 2)
Pd 0.236 0.250 0.478 (multiplicity 2)
Pd 0.299 0.750 0.889 (multiplicity 2)
Pd 0.417 0.250 0.755 (multiplicity 2)
Pd 0.475 0.750 0.588 (multiplicity 2)

Summary:
* calculated volume: 364.67 Å³/cell
* theoretical density: 8743 kg/m3
* ΔH_f (0 K): -49.0 kJ per mole of atoms
* DOS at the Fermi energy: 0.86 states/eV/atom


Entry 5:
A geometry-optimized ZrTiPd5 structure, computed with PBE.

Cell: 4.034 4.034 7.317 Å, 90.00 90.00 90.00°
Space group P4/mmm (No. 123)
Asymmetric unit:
Zr 0.000 0.000 0.000 (multiplicity 1)
Ti 0.500 0.500 0.500 (multiplicity 1)
Pd 0.000 0.500 0.281 (multiplicity 4)
Pd 0.500 0.500 0.000 (multiplicity 1)

Summary:
* calculated volume: 119.07 Å³/cell
* theoretical density: 9360 kg/m3
* ΔH_f (0 K): -54.9 kJ per mole of atoms
* DOS at the Fermi energy: 0.46 states/eV/atom


Entry 6:
A geometry-optimized ZrTi5Pd6 structure, computed with PBE.

Cell: 4.079 7.721 6.471 Å, 90.00 108.12 90.00°
Space group P2/m (No. 10)
Asymmetric unit:
Zr 0.000 0.000 0.000 (multiplicity 1)
Ti 0.000 0.500 0.000 (multiplicity 1)
Ti 0.326 0.000 0.651 (multiplicity 2)
Ti 0.334 0.500 0.667 (multiplicity 2)
Pd 0.169 0.257 0.337 (multiplicity 4)
Pd 0.500 0.259 0.000 (multiplicity 2)

Summary:
* calculated volume: 193.71 Å³/cell
* theoretical density: 8307 kg/m3
* ΔH_f (0 K): -50.7 kJ per mole of atoms
* DOS at the Fermi energy: 1.21 states/eV/atom


Number 4 is which compound?
Zr3TiPd6